1.
The following is a DFT calculation (PBE-GGA) of Er3NpSe6 after structural relaxation.

Output
**Total magnetization**: 4.0 μB/f.u.
**Space-group type**: Cmmm, No. 65
**Formation energy without anion corrections**: -1414 meV per atom
**E above lowest polymorph**: 0.2632 eV/atom

Cell lengths 4.3100, 8.6108, 8.6108 Å; angles 110.22, 90.00, 90.00 degrees
With the nearest neighbours (Å) after each atom.
Atoms (fractional coordinates):
Er: 0.5000 0.5000 0.0000  6 Se 2.83-2.89
Er: 0.0000 0.0000 0.0000  4 Se 2.72
Er: 0.5000 0.0000 0.5000  6 Se 2.83-2.89
Np: 0.0000 0.5000 0.5000  4 Se 2.96
Se: 0.0000 0.0880 0.3348  3 Er 2.72-2.83
Se: 0.0000 0.9120 0.6652  3 Er 2.72-2.83
Se: 0.0000 0.3348 0.0880  3 Er 2.72-2.83
Se: 0.0000 0.6652 0.9120  3 Er 2.72-2.83
Se: 0.5000 0.6436 0.3564  2 Er 2.89, 2 Np 2.96
Se: 0.5000 0.3564 0.6436  2 Er 2.89, 2 Np 2.96

=====

2.
The following is a DFT calculation (PBE-GGA) of ErNpSe after structural relaxation.

Output
**Total magnetization**: 2.5 μB/f.u.
**Space-group type**: Pnma, No. 62
**Formation energy without anion corrections**: -805 meV per atom

Cell lengths 4.1577, 3.7762, 16.7313 Å; angles 90.00, 90.00, 90.00 degrees
With the nearest neighbours (Å) after each atom.
Atoms (fractional coordinates):
Se: 0.2374 0.7500 0.8558  5 Er 2.86-2.94, 3 Np 3.03-3.11
Se: 0.2626 0.7500 0.3558  5 Er 2.86-2.94, 3 Np 3.03-3.11
Se: 0.7626 0.2500 0.1442  5 Er 2.86-2.94, 3 Np 3.03-3.11
Se: 0.7374 0.2500 0.6442  5 Er 2.86-2.94, 3 Np 3.03-3.11
Np: 0.1933 0.2500 0.5029  2 Np 2.48
Np: 0.3067 0.2500 0.0029  2 Np 2.48
Np: 0.8067 0.7500 0.4971  2 Np 2.48
Np: 0.6933 0.7500 0.9971  2 Np 2.48
Er: 0.2409 0.7500 0.6800  5 Se 2.86-2.94
Er: 0.2591 0.7500 0.1800  5 Se 2.86-2.94
Er: 0.7591 0.2500 0.3200  5 Se 2.86-2.94
Er: 0.7409 0.2500 0.8200  5 Se 2.86-2.94

=====

3.
The following is a DFT calculation (PBE-GGA) of ErNpSe3 after structural relaxation.

Output
**Total magnetization**: 4.0 μB/f.u.
**Space-group type**: P6_3mc, No. 186
**Formation energy without anion corrections**: -1431 meV per atom
**E above lowest polymorph**: 0.0746 eV/atom

Cell lengths 4.1196, 4.1196, 20.3369 Å; angles 90.00, 90.00, 120.00 degrees
With the nearest neighbours (Å) after each atom.
Atoms (fractional coordinates):
Er: 0.6667 0.3333 0.2840  6 Se 2.74-3.01
Er: 0.3333 0.6667 0.7840  6 Se 2.74-3.01
Np: 0.0000 0.0000 0.9636  6 Se 2.80-2.99
Np: 0.0000 0.0000 0.4636  6 Se 2.80-2.99
Se: 0.0000 0.0000 0.7167  3 Er 2.74
Se: 0.0000 0.0000 0.2167  3 Er 2.74
Se: 0.6667 0.3333 0.8746  3 Np 2.99, 3 Er 3.01
Se: 0.3333 0.6667 0.3746  3 Np 2.99, 3 Er 3.01
Se: 0.3333 0.6667 0.0361  3 Np 2.80
Se: 0.6667 0.3333 0.5361  3 Np 2.80

=====

4.
The following is a DFT calculation (PBE-GGA) of Er3NpSe6 after structural relaxation.

Output
**Total magnetization**: 4.0 μB/f.u.
**Space-group type**: P2_1/m, No. 11
**Formation energy without anion corrections**: -1677 meV per atom
**E above lowest polymorph**: 0.0000 eV/atom

Cell lengths 4.0817, 11.5417, 11.7605 Å; angles 109.12, 90.00, 90.00 degrees
With the nearest neighbours (Å) after each atom.
Atoms (fractional coordinates):
Er: 0.7500 0.4348 0.8340  6 Se 2.79-2.88
Er: 0.2500 0.5652 0.1660  6 Se 2.79-2.88
Er: 0.7500 0.6805 0.5009  7 Se 2.80-3.04
Er: 0.2500 0.3195 0.4991  7 Se 2.80-3.04
Er: 0.7500 0.1575 0.0827  6 Se 2.77-2.87
Er: 0.2500 0.8425 0.9173  6 Se 2.77-2.87
Np: 0.7500 0.0471 0.6927  8 Se 2.96-3.12
Np: 0.2500 0.9529 0.3073  8 Se 2.96-3.12
Se: 0.7500 0.4803 0.6153  4 Er 2.79-3.03
Se: 0.2500 0.5197 0.3847  4 Er 2.79-3.03
Se: 0.7500 0.9173 0.0984  3 Er 2.84-2.87, 2 Np 3.12
Se: 0.2500 0.0827 0.9016  3 Er 2.84-2.87, 2 Np 3.12
Se: 0.7500 0.3945 0.0620  4 Er 2.82-2.87
Se: 0.2500 0.6055 0.9380  4 Er 2.82-2.87
Se: 0.7500 0.7431 0.2752  3 Er 2.88-2.97, 2 Np 3.09
Se: 0.2500 0.2569 0.7248  3 Er 2.88-2.97, 2 Np 3.09
Se: 0.7500 0.1155 0.4628  3 Np 2.96-3.05, 2 Er 3.04
Se: 0.2500 0.8845 0.5372  3 Np 2.96-3.05, 2 Er 3.04
Se: 0.7500 0.8050 0.7499  3 Er 2.77-2.81, 1 Np 3.08
Se: 0.2500 0.1950 0.2501  3 Er 2.77-2.81, 1 Np 3.08

=====

5.
The following is a DFT calculation (PBE-GGA) of SmErNp2Se4 after structural relaxation.

Output
**Total magnetization**: 9.1 μB/f.u.
**Space-group type**: P2/m, No. 10
**Formation energy without anion corrections**: -1422 meV per atom

Cell lengths 4.0967, 7.1126, 7.1078 Å; angles 109.36, 90.00, 90.00 degrees
With the nearest neighbours (Å) after each atom.
Atoms (fractional coordinates):
Sm: 0.0000 0.0000 0.0000  6 Se 2.92
Er: 0.5000 0.5000 0.0000  6 Se 2.88
Np: 0.5000 0.0000 0.5000  6 Se 2.92-2.93
Np: 0.0000 0.5000 0.5000  6 Se 2.88
Se: 0.5000 0.2558 0.2518  1 Er 2.88, 3 Np 2.88-2.92, 2 Sm 2.92
Se: 0.5000 0.7442 0.7482  1 Er 2.88, 3 Np 2.88-2.92, 2 Sm 2.92
Se: 0.0000 0.2562 0.7526  2 Er 2.88, 3 Np 2.88-2.93, 1 Sm 2.92
Se: 0.0000 0.7438 0.2474  2 Er 2.88, 3 Np 2.88-2.93, 1 Sm 2.92

=====

6.
The following is a DFT calculation (PBE-GGA) of TbErNp2Se4 after structural relaxation.

Output
**Total magnetization**: 0.0 μB/f.u.
**Space-group type**: P2/m, No. 10
**Formation energy without anion corrections**: -1398 meV per atom

Cell lengths 4.0823, 7.1216, 7.0315 Å; angles 109.54, 90.00, 90.00 degrees
With the nearest neighbours (Å) after each atom.
Atoms (fractional coordinates):
Tb: 0.0000 0.0000 0.0000  6 Se 2.88
Er: 0.5000 0.5000 0.0000  6 Se 2.86
Np: 0.5000 0.0000 0.5000  6 Se 2.91-2.92
Np: 0.0000 0.5000 0.5000  6 Se 2.89-2.90
Se: 0.5000 0.2521 0.2466  1 Er 2.86, 2 Tb 2.88, 3 Np 2.89-2.92
Se: 0.5000 0.7479 0.7534  1 Er 2.86, 2 Tb 2.88, 3 Np 2.89-2.92
Se: 0.0000 0.2532 0.7553  2 Er 2.86, 1 Tb 2.88, 3 Np 2.90-2.91
Se: 0.0000 0.7468 0.2447  2 Er 2.86, 1 Tb 2.88, 3 Np 2.90-2.91

=====

7.
The following is a DFT calculation (PBE-GGA) of Er2NpTl2Se6 after structural relaxation.

Output
**Total magnetization**: 3.0 μB/f.u.
**Space-group type**: C2/m, No. 12
**Formation energy without anion corrections**: -1295 meV per atom

Cell lengths 7.1484, 7.1484, 8.1994 Å; angles 98.49, 98.49, 120.09 degrees
With the nearest neighbours (Å) after each atom.
Atoms (fractional coordinates):
Er: 0.3327 0.6673 0.5000  6 Se 2.85-2.87
Er: 0.6673 0.3327 0.5000  6 Se 2.85-2.87
Np: 0.0000 0.0000 0.5000  6 Se 2.84
Tl: 0.8324 0.1676 0.0000  6 Se 3.33-3.34
Tl: 0.1676 0.8324 0.0000  6 Se 3.33-3.34
Se: 0.7378 0.7378 0.7009  1 Np 2.84, 2 Er 2.87
Se: 0.0672 0.3987 0.7010  1 Np 2.84, 2 Er 2.85-2.86
Se: 0.2622 0.2622 0.2991  1 Np 2.84, 2 Er 2.87
Se: 0.3987 0.0672 0.7010  1 Np 2.84, 2 Er 2.85-2.86
Se: 0.9328 0.6013 0.2990  1 Np 2.84, 2 Er 2.85-2.86
Se: 0.6013 0.9328 0.2990  1 Np 2.84, 2 Er 2.85-2.86

=====

8.
The following is a DFT calculation (PBE-GGA) of ErNp3Tl4Se8 after structural relaxation.

Output
**Total magnetization**: 12.0 μB/f.u.
**Space-group type**: R-3m, No. 166
**Formation energy without anion corrections**: -1016 meV per atom

Cell lengths 8.4199, 9.1547, 8.4209 Å; angles 117.39, 120.00, 90.00 degrees
With the nearest neighbours (Å) after each atom.
Atoms (fractional coordinates):
Er: 0.0000 0.5000 0.0000  6 Se 2.87
Np: 0.5000 0.5000 0.0000  6 Se 2.89-2.91
Np: 0.5000 0.5000 0.5000  6 Se 2.89-2.91
Np: 0.0000 0.5000 0.5000  6 Se 2.89-2.91
Tl: 0.5000 0.0000 0.0000  6 Se 3.37
Tl: 0.5000 0.0000 0.5000  6 Se 3.34-3.35
Tl: 0.0000 0.0000 0.0000  6 Se 3.34-3.35
Tl: 0.0000 0.0000 0.5000  6 Se 3.34-3.35
Se: 0.2324 0.7034 0.9711  1 Er 2.87, 2 Np 2.91
Se: 0.2324 0.7034 0.4648  1 Er 2.87, 2 Np 2.91
Se: 0.2658 0.2977 0.5317  3 Np 2.89
Se: 0.7387 0.7034 0.9711  1 Er 2.87, 2 Np 2.91
Se: 0.2613 0.2966 0.0289  1 Er 2.87, 2 Np 2.91
Se: 0.7342 0.7023 0.4683  3 Np 2.89
Se: 0.7676 0.2966 0.5352  1 Er 2.87, 2 Np 2.91
Se: 0.7676 0.2966 0.0289  1 Er 2.87, 2 Np 2.91

=====

9.
The following is a DFT calculation (PBE-GGA) of ErNp2Tl3Se6 after structural relaxation.

Output
**Total magnetization**: 8.0 μB/f.u.
**Space-group type**: C2/m, No. 12
**Formation energy without anion corrections**: -1050 meV per atom

Cell lengths 7.2755, 7.2755, 8.1422 Å; angles 98.56, 98.56, 119.98 degrees
With the nearest neighbours (Å) after each atom.
Atoms (fractional coordinates):
Er: 0.0000 0.0000 0.0000  6 Se 2.87-2.88
Np: 0.3335 0.6665 0.0000  6 Se 2.90-2.91
Np: 0.6665 0.3335 0.0000  6 Se 2.90-2.91
Tl: 0.1677 0.8323 0.5000  6 Se 3.34-3.36
Tl: 0.8323 0.1677 0.5000  6 Se 3.34-3.36
Tl: 0.5000 0.5000 0.5000  6 Se 3.34-3.36
Se: 0.9324 0.6025 0.7970  1 Er 2.87, 2 Np 2.90-2.91
Se: 0.7381 0.7381 0.2040  1 Er 2.88, 2 Np 2.91
Se: 0.0676 0.3975 0.2030  1 Er 2.87, 2 Np 2.90-2.91
Se: 0.6025 0.9324 0.7970  1 Er 2.87, 2 Np 2.90-2.91
Se: 0.2619 0.2619 0.7960  1 Er 2.88, 2 Np 2.91
Se: 0.3975 0.0676 0.2030  1 Er 2.87, 2 Np 2.90-2.91

=====

10.
The following is a DFT calculation (PBE-GGA) of ErNpTl2Se4 after structural relaxation.

Output
**Total magnetization**: 4.0 μB/f.u.
**Space-group type**: P2/m, No. 10
**Formation energy without anion corrections**: -1129 meV per atom

Cell lengths 4.1890, 7.2787, 8.1294 Å; angles 107.31, 90.00, 90.00 degrees
With the nearest neighbours (Å) after each atom.
Atoms (fractional coordinates):
Er: 0.0000 0.0000 0.0000  6 Se 2.87
Np: 0.5000 0.5000 0.0000  6 Se 2.90-2.93
Tl: 0.5000 0.0000 0.5000  6 Se 3.32-3.33
Tl: 0.0000 0.5000 0.5000  6 Se 3.36
Se: 0.5000 0.2290 0.2032  2 Er 2.87, 1 Np 2.93
Se: 0.5000 0.7710 0.7968  2 Er 2.87, 1 Np 2.93
Se: 0.0000 0.2614 0.7963  1 Er 2.87, 2 Np 2.90
Se: 0.0000 0.7386 0.2037  1 Er 2.87, 2 Np 2.90

=====

11.
The following is a DFT calculation (PBE-GGA) of ErNpSi2 after structural relaxation.

Output
**Total magnetization**: 3.2 μB/f.u.
**Space-group type**: R-3m, No. 166
**Formation energy without anion corrections**: -140 meV per atom

Cell lengths 3.9567, 3.9567, 7.2892 Å; angles 74.25, 74.25, 60.00 degrees
With the nearest neighbours (Å) after each atom.
Atoms (fractional coordinates):
Np: 0.0000 0.0000 0.0000  6 Si 2.84
Si: 0.7481 0.7481 0.7558  3 Np 2.84, 3 Er 2.89
Si: 0.2519 0.2519 0.2442  3 Np 2.84, 3 Er 2.89
Er: 0.5000 0.5000 0.5000  6 Si 2.89

=====

12.
The following is a DFT calculation (PBE-GGA) of ErNpSi3 after structural relaxation.

Output
**Total magnetization**: 3.9 μB/f.u.
**Space-group type**: Cmcm, No. 63
**Formation energy without anion corrections**: -472 meV per atom

Cell lengths 3.9084, 4.0767, 12.3756 Å; angles 99.48, 90.00, 90.00 degrees
With the nearest neighbours (Å) after each atom.
Atoms (fractional coordinates):
Er: 0.2500 0.7972 0.5944  7 Si 2.90-2.95
Er: 0.7500 0.2028 0.4056  7 Si 2.90-2.95
Np: 0.2500 0.0700 0.1400  12 Si 3.03-3.30
Np: 0.7500 0.9300 0.8600  12 Si 3.03-3.30
Si: 0.2500 0.3815 0.7629  3 Si 2.30-2.41
Si: 0.7500 0.6185 0.2371  3 Si 2.30-2.41
Si: 0.2500 0.4755 0.9510  3 Si 2.29-2.30
Si: 0.7500 0.5245 0.0490  3 Si 2.29-2.30
Si: 0.7500 0.3235 0.6471  2 Si 2.41
Si: 0.2500 0.6765 0.3529  2 Si 2.41

=====

Among the records above, which one has the highest total magnetization?
ErNp3Tl4Se8

=====

Which formula does entry 7 have?
Er2NpTl2Se6

=====

What did the second record say?
The following is a DFT calculation (PBE-GGA) of ErNpSe after structural relaxation.

Output
**Total magnetization**: 2.5 μB/f.u.
**Space-group type**: Pnma, No. 62
**Formation energy without anion corrections**: -805 meV per atom

Cell lengths 4.1577, 3.7762, 16.7313 Å; angles 90.00, 90.00, 90.00 degrees
With the nearest neighbours (Å) after each atom.
Atoms (fractional coordinates):
Se: 0.2374 0.7500 0.8558  5 Er 2.86-2.94, 3 Np 3.03-3.11
Se: 0.2626 0.7500 0.3558  5 Er 2.86-2.94, 3 Np 3.03-3.11
Se: 0.7626 0.2500 0.1442  5 Er 2.86-2.94, 3 Np 3.03-3.11
Se: 0.7374 0.2500 0.6442  5 Er 2.86-2.94, 3 Np 3.03-3.11
Np: 0.1933 0.2500 0.5029  2 Np 2.48
Np: 0.3067 0.2500 0.0029  2 Np 2.48
Np: 0.8067 0.7500 0.4971  2 Np 2.48
Np: 0.6933 0.7500 0.9971  2 Np 2.48
Er: 0.2409 0.7500 0.6800  5 Se 2.86-2.94
Er: 0.2591 0.7500 0.1800  5 Se 2.86-2.94
Er: 0.7591 0.2500 0.3200  5 Se 2.86-2.94
Er: 0.7409 0.2500 0.8200  5 Se 2.86-2.94